The following is a PBE-GGA calculation of a geometry-optimized NaAl2Pt2 structure, from OQMD.

```
NaAl2Pt2
1.0
7.638 0.000 0.000
0.000 7.638 0.000
0.000 0.000 2.786
Na Al Pt
2 4 4
Cartesian
0.000 0.000 0.000
3.819 3.819 0.000
1.023 2.796 0.000
2.796 6.615 0.000
4.842 1.023 0.000
6.615 4.842 0.000
1.231 5.050 1.393
2.588 1.231 1.393
5.050 6.407 1.393
6.407 2.588 1.393
```

Values from the calculation:
Mass density ... 9.543 g/cm³
Total energy ... -5.03 eV/atom